15
Lattice="-5.842 1.238 -3.267 0.565 -5.475 4.005 -2.975 4.960 7.199" Properties=species:S:1:pos:R:3 comment="Ac3GaSn2Pd9, optimized geometry, DFT PBE" rho_kg_m3=8721 dos_at_fermi_per_ev_cell=3.7 delta_e_f_ev_per_atom=-0.574 pbc="T T T"
Ac 0.000 0.000 0.000
Ac -3.690 0.297 6.711
Ac -4.561 0.426 1.226
Pd -3.586 3.115 4.765
Pd -4.666 -2.392 3.173
Pd -2.638 -2.118 0.369
Pd -2.921 0.619 -1.634
Pd -6.758 0.569 5.208
Pd 0.283 -2.737 2.003
Pd -7.098 3.860 2.801
Pd -1.493 0.155 2.729
Pd -1.154 -3.137 5.137
Sn -6.101 2.993 4.953
Sn -2.150 -2.270 2.985
Ga -1.487 2.480 3.600

---

4
Lattice="5.149 0.000 0.000 2.575 4.459 0.000 2.575 1.486 4.204" Properties=species:S:1:pos:R:3 comment="AcGaSnPd, optimized geometry, DFT PBE" rho_kg_m3=8976 dos_at_fermi_per_ev_cell=0.7 delta_e_f_ev_per_atom=-0.565 pbc="T T T"
Pd 5.149 2.973 2.102
Sn 2.575 1.486 1.051
Ac 7.724 4.459 3.153
Ga 0.000 0.000 0.000

---

15
Lattice="-3.707 -0.456 -4.666 -2.182 -0.027 5.564 -0.959 11.093 -0.322" Properties=species:S:1:pos:R:3 comment="Ac3Ga2SnPd9, optimized geometry, DFT PBE" rho_kg_m3=9142 dos_at_fermi_per_ev_cell=7.9 delta_e_f_ev_per_atom=-0.633 pbc="T T T"
Pd -1.647 3.424 0.974
Pd -5.201 7.185 -0.398
Pd -4.108 7.199 -3.183
Pd -2.253 7.427 -0.847
Pd -1.853 -0.228 -2.333
Pd -2.740 3.411 3.759
Pd -2.944 -0.242 0.449
Pd -1.091 -0.014 2.782
Pd -4.595 3.183 1.423
Ga -2.843 1.595 2.103
Ga -4.005 9.015 -1.527
Sn -0.479 5.546 -0.161
Ac -3.293 6.801 1.952
Ac 0.000 0.000 0.000
Ac -3.555 3.809 -1.376

---

10
Lattice="6.885 0.375 -1.108 0.441 6.677 -1.047 2.835 2.852 4.006" Properties=species:S:1:pos:R:3 comment="Ac2GaSnPd6, optimized geometry, DFT PBE" rho_kg_m3=9558 dos_at_fermi_per_ev_cell=3.8 delta_e_f_ev_per_atom=-0.735 pbc="T T T"
Ac 6.589 3.226 1.091
Ac 3.573 6.678 0.759
Pd 8.364 8.192 2.363
Pd 8.827 5.431 1.964
Pd 1.334 4.474 -0.113
Pd 3.228 3.156 1.523
Pd 6.934 6.748 0.328
Pd 1.798 1.713 -0.512
Ga 0.000 0.000 0.000
Sn 3.663 3.526 -1.077